The following is a DFT calculation (GGA+U) of crystalline KCrO2 at its relaxed geometry.

```
KCrO2
1.0
1.5599 -2.7019 0.0000
1.5599 2.7019 0.0000
0.0000 0.0000 12.0122
K Cr O
2 2 4
Direct
0.6667 0.3333 0.7500
0.3333 0.6667 0.2500
0.0000 0.0000 0.5000
0.0000 0.0000 0.0000
0.6667 0.3333 0.0857
0.3333 0.6667 0.9143
0.3333 0.6667 0.5857
0.6667 0.3333 0.4143
```

Properties
- space-group type = P6_3/mmc (194)
- density of states at the Fermi level (states/eV/cell) = 0.00
- size of the total moment (μB/cell) = 6.00
- density (Mg/m³) = 4.0
- E above lowest polymorph (eV/f.u.) = 0.00